MnCrIn2: optimized geometry, PBE.

Cell: 3.0371 3.0371 8.0254 Å, 90.00 90.00 90.00°
Last column: nearest neighbours and their distance in Å.
Sites, in units of the cell vectors:
Cr 0.5000 0.5000 0.6996  4 Mn 2.47
In 0.0000 0.0000 0.9504  4 Cr 2.94, 4 In 3.04, 1 Mn 3.23
In 0.5000 0.5000 0.3021  4 Mn 2.92, 4 In 3.04, 1 Cr 3.19
Mn 0.0000 0.0000 0.5479  4 Cr 2.47

Computed properties:
The value obtained for the formation enthalpy at 0 K is 235 meV per atom. For the energy above the most stable polymorph in this dataset, the calculation gives 0 kJ/mol of formula units. The space-group type is No. 99.



Zn2ReCl: optimized geometry, PBE.

Cell: 6.7969 6.7969 6.7969 Å, 156.19 141.71 45.59°
Last column: nearest neighbours and their distance in Å.
Sites, in units of the cell vectors:
Cl 0.4197 0.4197 0.0000  2 Re 2.41
Re 0.2629 0.7629 0.5000  2 Cl 2.41, 6 Zn 2.60-2.67
Zn 0.0885 0.0885 0.0000  2 Re 2.60, 4 Zn 2.80-2.84
Zn 0.7289 0.2289 0.5000  4 Re 2.67, 4 Zn 2.80-2.84

Computed properties:
For the energy above the most stable polymorph in this dataset, the calculation gives 39 kJ/mol of formula units. The space-group type is No. 44. For the formation energy from raw total energies, the calculation gives 262 meV per atom.



Ac2SiGe: optimized geometry, PBE.

Cell: 3.7062 3.7062 8.4140 Å, 90.00 90.00 90.00°
Last column: nearest neighbours and their distance in Å.
Sites, in units of the cell vectors:
Ac 0.0000 0.0000 0.7556  4 Si 3.33, 4 Ge 3.39, 4 Ac 3.71
Ac 0.0000 0.0000 0.2444  4 Si 3.33, 4 Ge 3.39, 4 Ac 3.71
Si 0.5000 0.5000 0.0000  8 Ac 3.33, 4 Si 3.71
Ge 0.5000 0.5000 0.5000  8 Ac 3.39, 4 Ge 3.71

Computed properties:
The space-group type is No. 123. For the formation energy from raw total energies, the calculation gives -433 meV per atom.



| no. | final energy (eV per atom) |
| --- | --- |
| 1 | -5.832 |
| 2 | -3.949 |
| 3 | -4.998 |